12
Lattice="4.662 0.000 0.000 0.000 4.662 0.000 0.000 0.000 13.989" Properties=species:S:1:pos:R:3 comment="CeDy2In9 | the Alexandria database | GGA-PBE | optimized geometry" total_energy_ev_per_cell=-44.78 vol_a3_per_atom=25.34 dos_ef_per_ev_cell=8.7 m_tot_mub_per_cell=0.63 space_group="P4/mmm, No. 123" pbc="T T T"
Ce 0.000 0.000 0.000
Dy 0.000 0.000 4.696
Dy 0.000 0.000 9.293
In 2.331 2.331 0.000
In 2.331 2.331 4.663
In 2.331 2.331 9.326
In 2.331 0.000 2.366
In 2.331 0.000 6.995
In 2.331 0.000 11.623
In 0.000 2.331 2.366
In 0.000 2.331 6.995
In 0.000 2.331 11.623